60
Lattice="8.094 0.000 0.000 0.000 10.252 0.000 -2.066 0.000 7.814" Properties=species:S:1:pos:R:3 comment="Li4ZnP2O8 (PBEsol, relaxed)" sg="P2_1/c, No. 14" formation_energy_uncorrected_ev_per_fu=-34.5 volume_a3_per_atom=10.8 energy_ev_per_cell=-390.0 pbc="T T T"
Li -0.387 0.773 2.124
Li -1.420 4.353 6.030
Li -0.423 1.677 4.683
Li 0.610 3.449 0.776
Li -0.094 6.790 5.145
Li 0.939 8.589 1.238
Li 2.109 1.561 2.716
Li 1.076 3.565 6.623
Li 4.952 6.688 1.191
Li 3.919 8.691 5.098
Li 5.090 1.663 6.576
Li 6.122 3.463 2.669
Li 5.419 6.803 7.038
Li 6.451 8.575 3.131
Li 7.448 5.899 1.783
Li 6.415 9.480 5.690
Zn 2.465 6.728 3.206
Zn 1.432 8.650 7.112
Zn 4.596 1.602 0.701
Zn 3.564 3.524 4.608
P -0.311 0.937 7.596
P 0.721 4.189 3.689
P 2.106 6.076 0.270
P 1.073 9.302 4.177
P 4.955 0.950 3.637
P 3.923 4.176 7.543
P 5.307 6.063 4.125
P 6.340 9.315 0.218
O -1.199 1.018 6.331
O -0.166 4.108 2.424
O 0.761 6.721 0.692
O -0.272 8.657 4.599
O 1.037 1.554 1.004
O 0.004 3.572 4.911
O 0.838 0.504 3.731
O -0.195 4.622 7.637
O 1.018 5.687 3.987
O 2.051 9.692 0.080
O 0.669 6.865 6.902
O 1.701 8.514 2.995
O 1.006 1.712 7.309
O 2.039 3.414 3.403
O 3.107 6.169 1.463
O 2.074 9.210 5.370
O 3.954 1.043 2.444
O 2.921 4.083 6.351
O 3.990 6.838 4.411
O 5.023 8.540 0.504
O 4.327 1.739 4.819
O 5.360 3.388 0.912
O 3.977 0.561 7.733
O 5.010 4.565 3.827
O 6.223 5.630 0.176
O 5.190 9.748 4.083
O 6.024 6.680 2.903
O 4.991 8.698 6.810
O 6.300 1.595 3.215
O 5.267 3.531 7.122
O 6.195 6.144 5.389
O 7.227 9.234 1.483

37
Lattice="8.880 0.000 0.000 -0.209 8.899 0.000 -4.225 -4.548 6.382" Properties=species:S:1:pos:R:3 comment="Li3Zr4P6O24 (PBEsol, relaxed)" sg="P1, No. 1" formation_energy_uncorrected_ev_per_fu=-98.8 volume_a3_per_atom=13.6 energy_ev_per_cell=-301.8 pbc="T T T"
Li 0.000 0.000 0.000
Li -1.572 1.573 4.190
Li 2.304 -2.491 4.705
Zr 0.745 5.471 0.952
Zr 1.405 0.943 3.772
Zr 5.226 1.081 0.988
Zr 5.708 5.408 3.684
P -1.088 -0.827 2.271
P 1.939 2.230 0.528
P 0.103 4.186 4.168
P 3.354 -1.588 2.438
P 6.313 4.256 0.487
P 4.707 2.219 4.206
O -3.305 1.578 5.321
O -3.064 -3.015 5.763
O -0.178 7.371 1.464
O -1.392 4.521 4.236
O -0.516 0.085 3.390
O 1.696 3.738 0.439
O 1.383 1.622 1.829
O 0.720 4.770 2.886
O 0.192 2.642 4.225
O 2.497 6.498 1.314
O 3.449 1.958 0.455
O 2.250 -0.924 3.318
O 0.909 4.824 5.326
O 1.305 0.409 5.752
O 4.310 -0.567 1.829
O 3.283 1.690 4.157
O 3.840 6.358 3.449
O 6.322 2.730 0.180
O 5.637 4.531 1.838
O 5.501 1.914 2.912
O 4.637 3.739 4.486
O 7.096 0.080 1.223
O 7.768 4.746 0.522
O 6.837 -1.818 2.936